# 1
## KSrSi2 (PBE-GGA)

Data for an optimized crystal structure of KSrSi2.

Lattice parameters (Å, degrees): 3.520 3.520 9.616 90.00 90.00 90.00
Positions (direct):
K: 0.000 0.000 0.000
Sr: 0.500 0.500 0.576
Si: 0.000 0.000 0.348
Si: 0.500 0.500 0.255

## Properties
E_form (uncorrected) (eV/atom): 0.1192
Energy above the most stable polymorph in this dataset (kJ/mol of formula units): 115
Symmetry: No. 99
Fermi-level density of states (states/eV/cell): 2.80

# 2
## ErSnPb2 (PBE-GGA)

Data for an optimized crystal structure of ErSnPb2.

Lattice parameters (Å, degrees): 4.793 4.793 4.869 90.00 90.00 90.00
Positions (direct):
Er: 0.000 0.000 0.000
Sn: 0.500 0.500 0.000
Pb: 0.000 0.500 0.500
Pb: 0.500 0.000 0.500

## Properties
Energy above the most stable polymorph in this dataset (kJ/mol of formula units): 0
Symmetry: No. 123
Energy of formation from the pure elements (kJ per mole of atoms): -27.0
Fermi-level density of states (states/eV/cell): 2.61

The highest Fermi-level density of states belongs to which entry? KSrSi2